No. 1
Material: Pm4GaAg2Pd
Method: DFT, GGA-PBE
State: relaxed

Summary:
Final energy = -4.591 eV/atom
Energy of formation = -0.48 eV/atom

Structure (CIF):
```
data_Pm4GaAg2Pd
_chemical_formula_sum 'Pm12 Ga3 Ag6 Pd3'
_symmetry_space_group_name_H-M 'R -3 m'
_symmetry_Int_Tables_number 166
_symmetry_space_group_name_Hall '-R 3 2"'
_cell_length_a 5.2046
_cell_length_b 5.2046
_cell_length_c 25.4808
_cell_angle_alpha 90.00
_cell_angle_beta 90.00
_cell_angle_gamma 120.00
loop_
_atom_site_label
_atom_site_type_symbol
_atom_site_fract_x
_atom_site_fract_y
_atom_site_fract_z
_atom_site_occupancy
Pm1 Pm 0.0000 0.0000 0.1220 1
Pm2 Pm 0.0000 0.0000 0.3730 1
Ga1 Ga 0.0000 0.0000 0.5000 1
Ag1 Ag 0.0000 0.0000 0.2449 1
Pd1 Pd 0.0000 0.0000 0.0000 1
```

---

No. 2
Material: MnCuAs2Se
Method: DFT, GGA-PBE
State: relaxed

Summary:
Final energy = -4.663 eV/atom

Structure (CIF):
```
data_MnCuAs2Se
_chemical_formula_sum 'Mn1 Cu1 As2 Se1'
_symmetry_space_group_name_H-M 'P 4/m m m'
_symmetry_Int_Tables_number 123
_symmetry_space_group_name_Hall '-P 4 2'
_cell_length_a 4.5754
_cell_length_b 4.5754
_cell_length_c 4.8911
_cell_angle_alpha 90.00
_cell_angle_beta 90.00
_cell_angle_gamma 90.00
loop_
_atom_site_label
_atom_site_type_symbol
_atom_site_fract_x
_atom_site_fract_y
_atom_site_fract_z
_atom_site_occupancy
Mn1 Mn 0.0000 0.0000 0.0000 1
Cu1 Cu 0.5000 0.5000 0.5000 1
As1 As 0.0000 0.5000 0.0000 1
Se1 Se 0.0000 0.0000 0.5000 1
```

---

No. 3
Material: CuNi2Ru
Method: DFT, GGA-PBE
State: relaxed

Summary:
Final energy = -6.089 eV/atom
Energy of formation = 0.14 eV/atom

Structure (CIF):
```
data_CuNi2Ru
_chemical_formula_sum 'Cu3 Ni6 Ru3'
_symmetry_space_group_name_H-M 'R 3 m'
_symmetry_Int_Tables_number 160
_symmetry_space_group_name_Hall 'R 3 -2"'
_cell_length_a 2.5955
_cell_length_b 2.5955
_cell_length_c 24.9053
_cell_angle_alpha 90.00
_cell_angle_beta 90.00
_cell_angle_gamma 120.00
loop_
_atom_site_label
_atom_site_type_symbol
_atom_site_fract_x
_atom_site_fract_y
_atom_site_fract_z
_atom_site_occupancy
Cu1 Cu 0.0000 0.0000 0.0000 1
Ni1 Ni 0.0000 0.0000 0.4944 1
Ni2 Ni 0.0000 0.0000 0.7479 1
Ru1 Ru 0.0000 0.0000 0.2442 1
```